# 1
# LiBeH3 GGA-PBE optimized geometry
# - Energy above the most stable polymorph in this dataset: 0.026 eV per formula unit
# - Total moment: 0.00 μB per formula unit
# - Crystal system: orthorhombic
data_LiBeH3
_symmetry_space_group_name_H-M 'P 1'
_symmetry_Int_Tables_number 1
_cell_length_a 5.844
_cell_length_b 5.844
_cell_length_c 8.279
_cell_angle_alpha 90.00
_cell_angle_beta 90.00
_cell_angle_gamma 59.76
loop_
_symmetry_equiv_pos_as_xyz
'x,y,z'
loop_
_atom_site_label
_atom_site_fract_x
_atom_site_fract_y
_atom_site_fract_z
Li1 0.000 0.000 0.000
Li2 0.000 0.000 0.500
Li3 0.327 0.327 0.000
Li4 0.327 0.327 0.500
Li5 0.673 0.673 0.000
Li6 0.673 0.673 0.500
Be1 0.091 0.665 0.250
Be2 0.335 0.909 0.250
Be3 0.419 0.581 0.750
Be4 0.581 0.419 0.250
Be5 0.665 0.091 0.750
Be6 0.909 0.335 0.750
H1 0.022 0.335 0.601
H2 0.022 0.335 0.899
H3 0.091 0.909 0.250
H4 0.307 0.693 0.599
H5 0.307 0.693 0.901
H6 0.335 0.022 0.101
H7 0.335 0.022 0.399
H8 0.336 0.420 0.250
H9 0.420 0.336 0.750
H10 0.580 0.664 0.250
H11 0.664 0.580 0.750
H12 0.665 0.978 0.601
H13 0.665 0.978 0.899
H14 0.693 0.307 0.099
H15 0.693 0.307 0.401
H16 0.909 0.091 0.750
H17 0.978 0.665 0.101
H18 0.978 0.665 0.399

=====

# 2
# LiBeH3 GGA-PBE optimized geometry
# - Energy above the most stable polymorph in this dataset: 0.029 eV per formula unit
# - Total moment: 0.00 μB per formula unit
# - Crystal system: monoclinic
data_LiBeH3
_symmetry_space_group_name_H-M 'P 1'
_symmetry_Int_Tables_number 1
_cell_length_a 4.973
_cell_length_b 4.973
_cell_length_c 5.115
_cell_angle_alpha 99.40
_cell_angle_beta 99.40
_cell_angle_gamma 45.75
loop_
_symmetry_equiv_pos_as_xyz
'x,y,z'
loop_
_atom_site_label
_atom_site_fract_x
_atom_site_fract_y
_atom_site_fract_z
Li1 0.124 0.124 0.367
Li2 0.876 0.876 0.633
Be1 0.170 0.277 0.851
Be2 0.723 0.830 0.149
H1 0.087 0.068 0.724
H2 0.333 0.313 0.671
H3 0.339 0.193 0.117
H4 0.687 0.667 0.329
H5 0.807 0.661 0.883
H6 0.932 0.913 0.276

=====

# 3
# LiBeH3 GGA-PBE optimized geometry
# - Energy above the most stable polymorph in this dataset: 0.519 eV per formula unit
# - Total moment: 0.00 μB per formula unit
# - Crystal system: orthorhombic
data_LiBeH3
_symmetry_space_group_name_H-M 'P 1'
_symmetry_Int_Tables_number 1
_cell_length_a 4.500
_cell_length_b 6.259
_cell_length_c 4.380
_cell_angle_alpha 90.00
_cell_angle_beta 90.00
_cell_angle_gamma 90.00
loop_
_symmetry_equiv_pos_as_xyz
'x,y,z'
loop_
_atom_site_label
_atom_site_fract_x
_atom_site_fract_y
_atom_site_fract_z
Li1 0.049 0.250 0.010
Li2 0.451 0.750 0.510
Li3 0.549 0.250 0.490
Li4 0.951 0.750 0.990
Be1 0.000 0.000 0.500
Be2 0.000 0.500 0.500
Be3 0.500 0.000 0.000
Be4 0.500 0.500 0.000
H1 0.017 0.750 0.426
H2 0.206 0.538 0.794
H3 0.206 0.962 0.794
H4 0.294 0.038 0.294
H5 0.294 0.462 0.294
H6 0.483 0.250 0.926
H7 0.517 0.750 0.074
H8 0.706 0.538 0.706
H9 0.706 0.962 0.706
H10 0.794 0.038 0.206
H11 0.794 0.462 0.206
H12 0.983 0.250 0.574

=====

# 4
# Li2MgBeH6 GGA-PBE optimized geometry
# - Energy: -3.0789 eV per atom
# - Total moment: 0.00 μB per formula unit
# - Crystal system: tetragonal
data_Li2MgBeH6
_symmetry_space_group_name_H-M 'P 1'
_symmetry_Int_Tables_number 1
_cell_length_a 4.625
_cell_length_b 4.625
_cell_length_c 4.209
_cell_angle_alpha 90.00
_cell_angle_beta 90.00
_cell_angle_gamma 90.00
loop_
_symmetry_equiv_pos_as_xyz
'x,y,z'
loop_
_atom_site_label
_atom_site_fract_x
_atom_site_fract_y
_atom_site_fract_z
Li1 0.000 0.500 0.000
Li2 0.500 0.000 0.000
Mg1 0.000 0.000 0.606
Be1 0.500 0.500 0.635
H1 0.000 0.000 0.168
H2 0.271 0.271 0.748
H3 0.271 0.729 0.748
H4 0.500 0.500 0.292
H5 0.729 0.271 0.748
H6 0.729 0.729 0.748